Entry 1:
# Ni2B (PBE, optimized geometry)
data_Ni2B
_chemical_formula_sum 'Ni4 B2'
_symmetry_space_group_name_H-M 'P -1'
_symmetry_Int_Tables_number 2
_symmetry_space_group_name_Hall '-P 1'
_cell_length_a 3.930
_cell_length_b 3.946
_cell_length_c 3.957
_cell_angle_alpha 103.34
_cell_angle_beta 102.02
_cell_angle_gamma 97.18
loop_
_atom_site_label
_atom_site_type_symbol
_atom_site_fract_x
_atom_site_fract_y
_atom_site_fract_z
Ni1 Ni 0.053 0.305 0.223
Ni2 Ni 0.447 0.188 0.787
B1 B 0.410 0.659 0.645
# M_tot, μB/f.u.: 0.00
# E_form, kJ per mole of atoms: -20.0
# Electronic total energy, eV per atom: -6.2874

---

Entry 2:
# Ni5B2 (PBE, optimized geometry)
data_Ni5B2
_chemical_formula_sum 'Ni20 B8'
_symmetry_space_group_name_H-M 'C 1 2/c 1'
_symmetry_Int_Tables_number 15
_symmetry_space_group_name_Hall '-C 2yc'
_cell_length_a 11.324
_cell_length_b 4.512
_cell_length_c 5.158
_cell_angle_alpha 90.00
_cell_angle_beta 97.53
_cell_angle_gamma 90.00
loop_
_atom_site_label
_atom_site_type_symbol
_atom_site_fract_x
_atom_site_fract_y
_atom_site_fract_z
Ni1 Ni 0.000 0.084 0.250
Ni2 Ni 0.093 0.390 0.926
Ni3 Ni 0.218 0.081 0.314
B1 B 0.112 0.203 0.581
# M_tot, μB/f.u.: 0.00
# E_form, kJ per mole of atoms: -26.8
# Electronic total energy, eV per atom: -6.3155

---

Entry 3:
# Ni2B (PBE, optimized geometry)
data_Ni2B
_chemical_formula_sum 'Ni8 B4'
_symmetry_space_group_name_H-M 'C 1 2/m 1'
_symmetry_Int_Tables_number 12
_symmetry_space_group_name_Hall '-C 2y'
_cell_length_a 7.751
_cell_length_b 2.982
_cell_length_c 5.631
_cell_angle_alpha 90.00
_cell_angle_beta 123.91
_cell_angle_gamma 90.00
loop_
_atom_site_label
_atom_site_type_symbol
_atom_site_fract_x
_atom_site_fract_y
_atom_site_fract_z
Ni1 Ni 0.083 0.000 0.363
Ni2 Ni 0.179 0.500 0.091
B1 B 0.131 0.500 0.669
# M_tot, μB/f.u.: 0.00
# E_form, kJ per mole of atoms: -26.8
# Electronic total energy, eV per atom: -6.3574

---

Entry 4:
# Ni2B (PBE, optimized geometry)
data_Ni2B
_chemical_formula_sum 'Ni4 B2'
_symmetry_space_group_name_H-M 'I 4/m m m'
_symmetry_Int_Tables_number 139
_symmetry_space_group_name_Hall '-I 4 2'
_cell_length_a 2.468
_cell_length_b 2.468
_cell_length_c 8.751
_cell_angle_alpha 90.00
_cell_angle_beta 90.00
_cell_angle_gamma 90.00
loop_
_atom_site_label
_atom_site_type_symbol
_atom_site_fract_x
_atom_site_fract_y
_atom_site_fract_z
Ni1 Ni 0.000 0.000 0.139
B1 B 0.000 0.000 0.500
# M_tot, μB/f.u.: 0.00
# E_form, kJ per mole of atoms: -15.9
# Electronic total energy, eV per atom: -6.2444

---

Entry 5:
# Ni2B (PBE, optimized geometry)
data_Ni2B
_chemical_formula_sum 'Ni8 B4'
_symmetry_space_group_name_H-M 'C m c 21'
_symmetry_Int_Tables_number 36
_symmetry_space_group_name_Hall 'C 2c -2'
_cell_length_a 2.513
_cell_length_b 9.103
_cell_length_c 4.790
_cell_angle_alpha 90.00
_cell_angle_beta 90.00
_cell_angle_gamma 90.00
loop_
_atom_site_label
_atom_site_type_symbol
_atom_site_fract_x
_atom_site_fract_y
_atom_site_fract_z
Ni1 Ni 0.000 0.024 0.000
Ni2 Ni 0.000 0.289 0.816
B1 B 0.000 0.379 0.208
# M_tot, μB/f.u.: 0.00
# E_form, kJ per mole of atoms: -19.4
# Electronic total energy, eV per atom: -6.2806

---

Entry 6:
# NiB2 (PBE, optimized geometry)
data_NiB2
_chemical_formula_sum 'Ni2 B4'
_symmetry_space_group_name_H-M 'I 4/m m m'
_symmetry_Int_Tables_number 139
_symmetry_space_group_name_Hall '-I 4 2'
_cell_length_a 2.803
_cell_length_b 2.803
_cell_length_c 5.821
_cell_angle_alpha 90.00
_cell_angle_beta 90.00
_cell_angle_gamma 90.00
loop_
_atom_site_label
_atom_site_type_symbol
_atom_site_fract_x
_atom_site_fract_y
_atom_site_fract_z
Ni1 Ni 0.000 0.000 0.000
B1 B 0.000 0.000 0.347
# M_tot, μB/f.u.: 0.00
# E_form, kJ per mole of atoms: 30.6
# Electronic total energy, eV per atom: -6.0619

---

Entry 7:
# Ni23B6 (PBE, optimized geometry)
data_Ni23B6
_chemical_formula_sum 'Ni92 B24'
_symmetry_space_group_name_H-M 'F m -3 m'
_symmetry_Int_Tables_number 225
_symmetry_space_group_name_Hall '-F 4 2 3'
_cell_length_a 10.439
_cell_length_b 10.439
_cell_length_c 10.439
_cell_angle_alpha 90.00
_cell_angle_beta 90.00
_cell_angle_gamma 90.00
loop_
_atom_site_label
_atom_site_type_symbol
_atom_site_fract_x
_atom_site_fract_y
_atom_site_fract_z
Ni1 Ni 0.000 0.000 0.000
Ni2 Ni 0.000 0.169 0.169
Ni3 Ni 0.118 0.118 0.382
Ni4 Ni 0.250 0.250 0.250
B1 B 0.000 0.000 0.274
# M_tot, μB/f.u.: 4.42
# E_form, kJ per mole of atoms: -18.2
# Electronic total energy, eV per atom: -6.1558

---

Entry 8:
# Ni2B (PBE, optimized geometry)
data_Ni2B
_chemical_formula_sum 'Ni8 B4'
_symmetry_space_group_name_H-M 'C 1 2/m 1'
_symmetry_Int_Tables_number 12
_symmetry_space_group_name_Hall '-C 2y'
_cell_length_a 9.579
_cell_length_b 2.911
_cell_length_c 4.015
_cell_angle_alpha 90.00
_cell_angle_beta 101.18
_cell_angle_gamma 90.00
loop_
_atom_site_label
_atom_site_type_symbol
_atom_site_fract_x
_atom_site_fract_y
_atom_site_fract_z
Ni1 Ni 0.078 0.000 0.289
Ni2 Ni 0.152 0.500 0.828
B1 B 0.229 0.500 0.359
# M_tot, μB/f.u.: 0.00
# E_form, kJ per mole of atoms: -23.0
# Electronic total energy, eV per atom: -6.3185

---

Entry 9:
# NiB5 (PBE, optimized geometry)
data_NiB5
_chemical_formula_sum 'Ni2 B10'
_symmetry_space_group_name_H-M 'C m m m'
_symmetry_Int_Tables_number 65
_symmetry_space_group_name_Hall '-C 2 2'
_cell_length_a 3.537
_cell_length_b 9.312
_cell_length_c 2.975
_cell_angle_alpha 90.00
_cell_angle_beta 90.00
_cell_angle_gamma 90.00
loop_
_atom_site_label
_atom_site_type_symbol
_atom_site_fract_x
_atom_site_fract_y
_atom_site_fract_z
Ni1 Ni 0.000 0.000 0.000
B1 B 0.000 0.301 0.500
B2 B 0.000 0.392 0.000
B3 B 0.000 0.500 0.500
# M_tot, μB/f.u.: 0.00
# E_form, kJ per mole of atoms: 47.6
# Electronic total energy, eV per atom: -6.0344

---

Entry 10:
# Ni8B3 (PBE, optimized geometry)
data_Ni8B3
_chemical_formula_sum 'Ni24 B9'
_symmetry_space_group_name_H-M 'R -3'
_symmetry_Int_Tables_number 148
_symmetry_space_group_name_Hall '-R 3'
_cell_length_a 6.6582
_cell_length_b 6.6582
_cell_length_c 8.4343
_cell_angle_alpha 90.00
_cell_angle_beta 90.00
_cell_angle_gamma 120.00
loop_
_atom_site_label
_atom_site_type_symbol
_atom_site_fract_x
_atom_site_fract_y
_atom_site_fract_z
Ni1 Ni 0.0000 0.0000 0.1520
Ni2 Ni 0.0419 0.7831 0.6146
B1 B 0.0000 0.5000 0.5000
# M_tot, μB/f.u.: 0.00
# E_form, kJ per mole of atoms: -9.8
# Electronic total energy, eV per atom: -6.1268

---

Entry 11:
# NiB12 (PBE, optimized geometry)
data_NiB12
_chemical_formula_sum 'Ni4 B48'
_symmetry_space_group_name_H-M 'F m -3 m'
_symmetry_Int_Tables_number 225
_symmetry_space_group_name_Hall '-F 4 2 3'
_cell_length_a 7.397
_cell_length_b 7.397
_cell_length_c 7.397
_cell_angle_alpha 90.00
_cell_angle_beta 90.00
_cell_angle_gamma 90.00
loop_
_atom_site_label
_atom_site_type_symbol
_atom_site_fract_x
_atom_site_fract_y
_atom_site_fract_z
Ni1 Ni 0.000 0.000 0.000
B1 B 0.000 0.170 0.330
# M_tot, μB/f.u.: 1.72
# E_form, kJ per mole of atoms: 25.1
# Electronic total energy, eV per atom: -6.3479

---

Entry 12:
# Ni2B (PBE, optimized geometry)
data_Ni2B
_chemical_formula_sum 'Ni8 B4'
_symmetry_space_group_name_H-M 'I 4/m c m'
_symmetry_Int_Tables_number 140
_symmetry_space_group_name_Hall '-I 4 2c'
_cell_length_a 4.974
_cell_length_b 4.974
_cell_length_c 4.264
_cell_angle_alpha 90.00
_cell_angle_beta 90.00
_cell_angle_gamma 90.00
loop_
_atom_site_label
_atom_site_type_symbol
_atom_site_fract_x
_atom_site_fract_y
_atom_site_fract_z
Ni1 Ni 0.170 0.330 0.000
B1 B 0.000 0.000 0.250
# M_tot, μB/f.u.: 0.00
# E_form, kJ per mole of atoms: -27.8
# Electronic total energy, eV per atom: -6.3682

---

Entry 13:
# NpNiB (PBE, optimized geometry)
data_NpNiB
_chemical_formula_sum 'Np8 Ni8 B8'
_symmetry_space_group_name_H-M 'F m m m'
_symmetry_Int_Tables_number 69
_symmetry_space_group_name_Hall '-F 2 2'
_cell_length_a 4.413
_cell_length_b 7.110
_cell_length_c 9.345
_cell_angle_alpha 90.00
_cell_angle_beta 90.00
_cell_angle_gamma 90.00
loop_
_atom_site_label
_atom_site_type_symbol
_atom_site_fract_x
_atom_site_fract_y
_atom_site_fract_z
Np1 Np 0.000 0.171 0.000
Ni1 Ni 0.000 0.000 0.308
B1 B 0.250 0.250 0.250
# M_tot, μB/f.u.: 1.30
# E_form, kJ per mole of atoms: -4.1
# Electronic total energy, eV per atom: -8.5094

---

Entry 14:
# NpNi12B6 (PBE, optimized geometry)
data_NpNi12B6
_chemical_formula_sum 'Np3 Ni36 B18'
_symmetry_space_group_name_H-M 'R -3 m'
_symmetry_Int_Tables_number 166
_symmetry_space_group_name_Hall '-R 3 2"'
_cell_length_a 9.5146
_cell_length_b 9.5146
_cell_length_c 7.3646
_cell_angle_alpha 90.00
_cell_angle_beta 90.00
_cell_angle_gamma 120.00
loop_
_atom_site_label
_atom_site_type_symbol
_atom_site_fract_x
_atom_site_fract_y
_atom_site_fract_z
Np1 Np 0.0000 0.0000 0.0000
Ni1 Ni 0.0000 0.3694 0.5000
Ni2 Ni 0.0889 0.1777 0.3640
B1 B 0.0419 0.5210 0.2866
# M_tot, μB/f.u.: 3.97
# E_form, kJ per mole of atoms: -28.7
# Electronic total energy, eV per atom: -6.7388

---

Entry 15:
# NpNi22B6 (PBE, optimized geometry)
data_NpNi22B6
_chemical_formula_sum 'Np4 Ni88 B24'
_symmetry_space_group_name_H-M 'F m -3 m'
_symmetry_Int_Tables_number 225
_symmetry_space_group_name_Hall '-F 4 2 3'
_cell_length_a 10.570
_cell_length_b 10.570
_cell_length_c 10.570
_cell_angle_alpha 90.00
_cell_angle_beta 90.00
_cell_angle_gamma 90.00
loop_
_atom_site_label
_atom_site_type_symbol
_atom_site_fract_x
_atom_site_fract_y
_atom_site_fract_z
Np1 Np 0.000 0.000 0.000
Ni1 Ni 0.000 0.171 0.171
Ni2 Ni 0.117 0.117 0.383
Ni3 Ni 0.250 0.250 0.250
B1 B 0.000 0.000 0.277
# M_tot, μB/f.u.: 1.96
# E_form, kJ per mole of atoms: -17.9
# Electronic total energy, eV per atom: -6.3995

---

Entry 16:
# NpNi4B4 (PBE, optimized geometry)
data_NpNi4B4
_chemical_formula_sum 'Np2 Ni8 B8'
_symmetry_space_group_name_H-M 'P 42/n m c'
_symmetry_Int_Tables_number 137
_cell_length_a 5.043
_cell_length_b 5.043
_cell_length_c 7.118
_cell_angle_alpha 90.00
_cell_angle_beta 90.00
_cell_angle_gamma 90.00
loop_
_symmetry_equiv_pos_as_xyz
'x,y,z'
'-x,-y,-z'
'-y+1/2,x,z+1/2'
'y+1/2,-x,-z+1/2'
'-x+1/2,-y+1/2,z'
'x+1/2,y+1/2,-z'
'y,-x+1/2,z+1/2'
'-y,x+1/2,-z+1/2'
'x+1/2,-y,-z'
'-x+1/2,y,z'
'-y,-x,-z+1/2'
'y,x,z+1/2'
'-x,y+1/2,-z'
'x,-y+1/2,z'
'y+1/2,x+1/2,-z+1/2'
'-y+1/2,-x+1/2,z+1/2'
loop_
_atom_site_label
_atom_site_type_symbol
_atom_site_fract_x
_atom_site_fract_y
_atom_site_fract_z
Np1 Np 0.250 0.750 0.250
Ni1 Ni 0.002 0.250 0.115
B1 B 0.080 0.250 0.410
# M_tot, μB/f.u.: 3.22
# E_form, kJ per mole of atoms: -25.3
# Electronic total energy, eV per atom: -7.2369

---

Entry 17:
# Np2Ni21B6 (PBE, optimized geometry)
data_Np2Ni21B6
_chemical_formula_sum 'Np8 Ni84 B24'
_symmetry_space_group_name_H-M 'F m -3 m'
_symmetry_Int_Tables_number 225
_symmetry_space_group_name_Hall '-F 4 2 3'
_cell_length_a 10.662
_cell_length_b 10.662
_cell_length_c 10.662
_cell_angle_alpha 90.00
_cell_angle_beta 90.00
_cell_angle_gamma 90.00
loop_
_atom_site_label
_atom_site_type_symbol
_atom_site_fract_x
_atom_site_fract_y
_atom_site_fract_z
Np1 Np 0.250 0.250 0.250
Ni1 Ni 0.000 0.000 0.000
Ni2 Ni 0.000 0.170 0.170
Ni3 Ni 0.114 0.114 0.386
B1 B 0.000 0.000 0.267
# M_tot, μB/f.u.: 4.15
# E_form, kJ per mole of atoms: -25.0
# Electronic total energy, eV per atom: -6.7199

---

Entry 18:
# NpNi2B (PBE, optimized geometry)
data_NpNi2B
_chemical_formula_sum 'Np3 Ni6 B3'
_symmetry_space_group_name_H-M 'R -3 m'
_symmetry_Int_Tables_number 166
_symmetry_space_group_name_Hall '-R 3 2"'
_cell_length_a 2.9409
_cell_length_b 2.9409
_cell_length_c 21.1898
_cell_angle_alpha 90.00
_cell_angle_beta 90.00
_cell_angle_gamma 120.00
loop_
_atom_site_label
_atom_site_type_symbol
_atom_site_fract_x
_atom_site_fract_y
_atom_site_fract_z
Np1 Np 0.0000 0.0000 0.0000
Ni1 Ni 0.0000 0.0000 0.2130
B1 B 0.0000 0.0000 0.5000
# M_tot, μB/f.u.: 3.83
# E_form, kJ per mole of atoms: 6.3
# Electronic total energy, eV per atom: -7.7301

---

Entry 19:
# Np2NiB10 (PBE, optimized geometry)
data_Np2NiB10
_chemical_formula_sum 'Np4 Ni2 B20'
_symmetry_space_group_name_H-M 'P b a m'
_symmetry_Int_Tables_number 55
_symmetry_space_group_name_Hall '-P 2 2ab'
_cell_length_a 5.545
_cell_length_b 11.010
_cell_length_c 4.119
_cell_angle_alpha 90.00
_cell_angle_beta 90.00
_cell_angle_gamma 90.00
loop_
_atom_site_label
_atom_site_type_symbol
_atom_site_fract_x
_atom_site_fract_y
_atom_site_fract_z
Np1 Np 0.180 0.140 0.000
Ni1 Ni 0.000 0.500 0.500
B1 B 0.027 0.313 0.500
B2 B 0.127 0.961 0.500
B3 B 0.159 0.802 0.500
B4 B 0.200 0.386 0.198
# M_tot, μB/f.u.: 7.08
# E_form, kJ per mole of atoms: -35.6
# Electronic total energy, eV per atom: -7.9414